No. 1
The following is a PBE calculation of a relaxed structure of GdHfMgIn, from the Alexandria database.

Values from the calculation:
Energy in eV/atom: -7.174
Energy of formation from the pure elements in eV/atom: -0.0820
Density of states at the Fermi level in states/eV per cell: 2.93

Cell lengths 5.140, 5.140, 5.140 Å; angles 60.00, 60.00, 60.00 degrees
Site moments in Bohr magnetons follow the coordinates.
Fractional positions:
Gd  0.250  0.250  0.250  7.08
In  0.500  0.500  0.500  -0.02
Mg  0.000  0.000  0.000  -0.01
Hf  0.750  0.750  0.750  0.05

***

No. 2
The following is a PBE calculation of a relaxed structure of GdHfIr, from the Alexandria database.

Values from the calculation:
Energy in eV/atom: -11.472
Polymorph energy (0 for the lowest one) in kJ/mol of atoms: 0.0
Energy of formation from the pure elements in eV/atom: -0.5071
Density of states at the Fermi level in states/eV per cell: 2.74

Cell lengths 3.394, 3.394, 6.307 Å; angles 105.61, 105.61, 90.00 degrees
Site moments in Bohr magnetons follow the coordinates.
Fractional positions:
Ir  0.688  0.688  0.375  0.07
Gd  0.014  0.014  0.029  7.30
Hf  0.298  0.298  0.596  0.29

***

No. 3
The following is a PBE calculation of a relaxed structure of GdHfIr2, from the Alexandria database.

Values from the calculation:
Energy in eV/atom: -11.286
Energy of formation from the pure elements in eV/atom: -0.8467
Density of states at the Fermi level in states/eV per cell: 3.10

Cell lengths 3.327, 3.327, 6.953 Å; angles 90.00, 90.00, 90.00 degrees
Site moments in Bohr magnetons follow the coordinates.
Fractional positions:
Hf  0.500  0.500  0.000  0.03
Ir  0.000  0.000  0.780  -0.10
Ir  0.000  0.000  0.220  -0.10
Gd  0.500  0.500  0.500  6.99